A plane-wave DFT calculation with PBE was carried out for an optimized crystal structure of LaGd2Ho.

a = 3.6059 Å, b = 3.6059 Å, c = 35.3924 Å
α = 90.00°, β = 90.00°, γ = 120.00°
Last column: nearest neighbours and their distance in Å.
Space group R-3m (No. 166, hexagonal axes)
Asymmetric unit:
La (0.0000, 0.0000, 0.0000) x3  6 La 3.61, 6 Gd 3.67
Gd (0.0000, 0.0000, 0.2478) x6  3 Ho 3.55, 6 Gd 3.61, 3 La 3.67
Ho (0.0000, 0.0000, 0.5000) x3  6 Gd 3.55, 6 Ho 3.61

E = -0.6900 Ry per atom
E above lowest polymorph = 3 meV/atom
Energy of formation = 28.9 meV/atom